(1)
Computed, not measured: an optimized crystal structure of NbBiIr at the PBE-GGA level of DFT.

Computed properties:
Its spin magnetization is 0.001 μB per atom. For the final energy, the calculation gives -7.42 eV/atom.

Unit cell a=5.8383 b=4.7659 c=8.2300 alpha=90.00 beta=90.00 gamma=90.00
With the nearest neighbours (Å) after each atom.
Fractional positions:
Nb  0.0299  0.7500  0.2424  5 Ir 2.88-3.16, 2 Nb 2.92, 5 Bi 3.01-3.14
Bi  0.7193  0.7500  0.9169  5 Ir 2.76-2.95, 3 Nb 3.01-3.09
Bi  0.2193  0.7500  0.5831  5 Ir 2.76-2.95, 3 Nb 3.01-3.09
Ir  0.7135  0.7500  0.5818  5 Bi 2.76-2.95, 3 Nb 2.88-3.07
Bi  0.7807  0.2500  0.4169  5 Ir 2.76-2.95, 3 Nb 3.01-3.09
Ir  0.2865  0.2500  0.4182  5 Bi 2.76-2.95, 3 Nb 2.88-3.07
Ir  0.7865  0.2500  0.0818  5 Bi 2.76-2.95, 3 Nb 2.88-3.07
Ir  0.2135  0.7500  0.9182  5 Bi 2.76-2.95, 3 Nb 2.88-3.07
Nb  0.9701  0.2500  0.7576  5 Ir 2.88-3.16, 2 Nb 2.92, 5 Bi 3.01-3.14
Nb  0.5299  0.7500  0.2576  5 Ir 2.88-3.16, 2 Nb 2.92, 5 Bi 3.01-3.14
Nb  0.4701  0.2500  0.7424  5 Ir 2.88-3.16, 2 Nb 2.92, 5 Bi 3.01-3.14
Bi  0.2807  0.2500  0.0831  5 Ir 2.76-2.95, 3 Nb 3.01-3.09


(2)
Computed, not measured: an optimized crystal structure of Nb2BiIr at the PBE-GGA level of DFT.

Computed properties:
Its spin magnetization is 0.004 μB per atom. For the final energy, the calculation gives -7.97 eV/atom.

Unit cell a=4.7350 b=4.7350 c=4.7350 alpha=60.00 beta=60.00 gamma=60.00
With the nearest neighbours (Å) after each atom.
Fractional positions:
Nb  0.0000  0.0000  0.0000  4 Nb 2.90, 4 Ir 2.90
Bi  0.5000  0.5000  0.5000  4 Ir 2.90, 4 Nb 2.90
Nb  0.7500  0.7500  0.7500  4 Nb 2.90, 4 Bi 2.90
Ir  0.2500  0.2500  0.2500  4 Bi 2.90, 4 Nb 2.90


(3)
Computed, not measured: an optimized crystal structure of Nb4Bi5Ir5 at the PBE-GGA level of DFT.

Computed properties:
Its spin magnetization is 0.001 μB per atom. For the final energy, the calculation gives -7.67 eV/atom.

Unit cell a=6.3799 b=7.7488 c=7.7488 alpha=80.24 beta=114.31 gamma=114.31
With the nearest neighbours (Å) after each atom.
Fractional positions:
Bi  0.5000  0.0000  0.0000  4 Ir 2.80
Ir  0.3913  0.8917  0.3272  3 Nb 2.60-2.70, 4 Bi 2.72-2.80
Nb  0.3972  0.6013  0.2065  4 Ir 2.60-2.74
Bi  0.7369  0.8084  0.6399  4 Ir 2.72-2.83
Ir  0.9360  0.3272  0.1083  3 Nb 2.60-2.70, 4 Bi 2.72-2.80
Nb  0.5895  0.3987  0.7935  4 Ir 2.60-2.74
Ir  0.7500  0.5000  0.5000  4 Nb 2.74, 4 Bi 2.83
Bi  0.2886  0.1916  0.3601  4 Ir 2.72-2.83
Bi  0.0715  0.3601  0.8084  4 Ir 2.72-2.83
Bi  0.9030  0.6399  0.1916  4 Ir 2.72-2.83
Ir  0.5005  0.6728  0.8917  3 Nb 2.60-2.70, 4 Bi 2.72-2.80
Nb  0.8092  0.2065  0.3987  4 Ir 2.60-2.74
Ir  0.1723  0.1083  0.6728  3 Nb 2.60-2.70, 4 Bi 2.72-2.80
Nb  0.2040  0.7935  0.6013  4 Ir 2.60-2.74


Look up the spin magnetization of the second one.
0.004 μB per atom